No. 1
Compound: Rh2W
Source: the Alexandria database
Functional: GGA-PBEsol
Structure: optimized geometry

Cell: 3.8413 3.8413 11.7739 Å, 99.39 99.39 90.00°
With the nearest neighbours (Å) after each atom.
Positions (direct):
Rh (0.4166, 0.4166, 0.8332)  6 Rh 2.69-2.73, 6 W 2.71-2.72
Rh (0.6666, 0.1666, 0.3332)  6 Rh 2.69-2.73, 6 W 2.71-2.72
Rh (0.8334, 0.3334, 0.6668)  6 Rh 2.69-2.73, 6 W 2.71-2.72
Rh (0.9986, 0.4986, 0.9971)  4 W 2.68-2.72, 8 Rh 2.69-2.73
Rh (0.5834, 0.5834, 0.1668)  6 Rh 2.69-2.73, 6 W 2.71-2.72
Rh (0.2514, 0.2514, 0.5029)  4 W 2.68-2.72, 8 Rh 2.69-2.73
Rh (0.7486, 0.7486, 0.4971)  4 W 2.68-2.72, 8 Rh 2.69-2.73
Rh (0.5014, 0.0014, 0.0029)  4 W 2.68-2.72, 8 Rh 2.69-2.73
W (0.3329, 0.8329, 0.6657)  10 Rh 2.68-2.72, 2 W 2.72
W (0.1671, 0.6671, 0.3343)  10 Rh 2.68-2.72, 2 W 2.72
W (0.0829, 0.0829, 0.1657)  10 Rh 2.68-2.72, 2 W 2.72
W (0.9171, 0.9171, 0.8343)  10 Rh 2.68-2.72, 2 W 2.72

Output
As for the space group: I4_1/amd. Its calculated formation energy is -0.6 eV/f.u.

=====

No. 2
Compound: CdHg2
Source: the Alexandria database
Functional: GGA-PBEsol
Structure: optimized geometry

Cell: 4.8351 6.1640 9.0108 Å, 90.00 90.00 90.00°
With the nearest neighbours (Å) after each atom.
Positions (direct):
Hg (0.2500, 0.6611, 0.9857)  4 Cd 2.93-3.14, 6 Hg 3.12-3.22
Hg (0.2500, 0.6080, 0.3302)  5 Cd 3.04-3.09, 6 Hg 3.12-3.40
Hg (0.2500, 0.1611, 0.5143)  4 Cd 2.93-3.14, 6 Hg 3.12-3.22
Hg (0.7500, 0.3389, 0.0143)  4 Cd 2.93-3.14, 6 Hg 3.12-3.22
Hg (0.7500, 0.8920, 0.8302)  5 Cd 3.04-3.09, 6 Hg 3.12-3.40
Hg (0.7500, 0.8389, 0.4857)  4 Cd 2.93-3.14, 6 Hg 3.12-3.22
Hg (0.2500, 0.1080, 0.1698)  5 Cd 3.04-3.09, 6 Hg 3.12-3.40
Hg (0.7500, 0.3920, 0.6698)  5 Cd 3.04-3.09, 6 Hg 3.12-3.40
Cd (0.7500, 0.3006, 0.3383)  9 Hg 2.93-3.14
Cd (0.7500, 0.8006, 0.1617)  9 Hg 2.93-3.14
Cd (0.2500, 0.1994, 0.8383)  9 Hg 2.93-3.14
Cd (0.2500, 0.6994, 0.6617)  9 Hg 2.93-3.14

Output
As for the space group: Pnma. Its calculated formation energy is 0.0 eV/f.u. Its energy above the most stable polymorph in this dataset is 0.7 kJ per mole of atoms.

=====

No. 3
Compound: RbLaCdIr2
Source: the Alexandria database
Functional: GGA-PBEsol
Structure: optimized geometry

Cell: 5.0458 5.0458 6.1591 Å, 90.00 90.00 90.00°
With the nearest neighbours (Å) after each atom.
Positions (direct):
La (0.0000, 0.0000, 0.0000)  4 Ir 2.52
Ir (0.5000, 0.0000, 0.0000)  2 La 2.52
Ir (0.0000, 0.5000, 0.0000)  2 La 2.52
Cd (0.0000, 0.0000, 0.5000)  2 La 3.08
Rb (0.5000, 0.5000, 0.5000)  4 Cd 3.57, 8 Ir 3.98

Output
As for the space group: P4/mmm. Its calculated formation energy is 5.3 eV/f.u.

=====

No. 4
Compound: RbOsSN2
Source: the Alexandria database
Functional: GGA-PBEsol
Structure: optimized geometry

Cell: 3.9327 3.9327 4.9451 Å, 90.00 90.00 90.00°
With the nearest neighbours (Å) after each atom.
Positions (direct):
Os (0.0000, 0.0000, 0.0000)  4 N 1.97
S (0.0000, 0.0000, 0.5000)  2 Os 2.47
N (0.0000, 0.5000, 0.0000)  2 Os 1.97
N (0.5000, 0.0000, 0.0000)  2 Os 1.97
Rb (0.5000, 0.5000, 0.5000)  4 S 2.78

Output
As for the space group: P4/mmm. The value obtained for the uncorrected formation energy is 0.41 eV per atom.

=====

No. 5
Compound: YPb2
Source: the Alexandria database
Functional: GGA-PBEsol
Structure: optimized geometry

Cell: 4.4427 4.4795 8.5169 Å, 74.75 90.00 90.00°
With the nearest neighbours (Å) after each atom.
Positions (direct):
Y (0.7500, 0.9045, 0.1910)  10 Pb 3.19-3.50
Y (0.2500, 0.0955, 0.8090)  10 Pb 3.19-3.50
Pb (0.7500, 0.5678, 0.8644)  2 Pb 3.15, 6 Y 3.19-3.50
Pb (0.7500, 0.2516, 0.4969)  4 Pb 3.15, 4 Y 3.37-3.39
Pb (0.2500, 0.4322, 0.1356)  2 Pb 3.15, 6 Y 3.19-3.50
Pb (0.2500, 0.7484, 0.5031)  4 Pb 3.15, 4 Y 3.37-3.39

Output
As for the space group: Cmcm. Its calculated formation energy is -1.4 eV/f.u.

=====

No. 6
Compound: DyGe2Ru2
Source: the Alexandria database
Functional: GGA-PBEsol
Structure: optimized geometry

Cell: 4.1948 4.1948 5.7169 Å, 111.52 111.52 90.00°
With the nearest neighbours (Å) after each atom.
Positions (direct):
Dy (0.0000, 0.0000, 0.0000)  8 Ru 3.22, 8 Ge 3.22
Ge (0.3713, 0.3713, 0.7425)  4 Ru 2.41, 1 Ge 2.52
Ge (0.6287, 0.6287, 0.2575)  4 Ru 2.41, 1 Ge 2.52
Ru (0.7500, 0.2500, 0.5000)  4 Ge 2.41
Ru (0.2500, 0.7500, 0.5000)  4 Ge 2.41

Output
As for the space group: I4/mmm. Its calculated formation energy is -3.3 eV/f.u.

=====

Respective density values: 15.31, 12.70, 7.64, 7.29, 10.22, 9.85 Mg/m³.